Model i:
{
  "formula": "Pm2Er3Pd2",
  "functional": "GGA-PBE",
  "state": "relaxed",
  "lattice": [[3.719, 0.000, 0.000], [-1.857, 6.308, 0.000], [-1.844, -0.695, 8.228]],
  "species": ["Pm", "Pm", "Er", "Er", "Er", "Pd", "Pd"],
  "frac_coords": [[0.233, 0.348, 0.120], [0.767, 0.652, 0.880], [0.000, 0.500, 0.500], [0.438, 0.100, 0.776], [0.562, 0.900, 0.224], [0.289, 0.148, 0.430], [0.711, 0.852, 0.570]]
}

Model ii:
{
  "formula": "Pm2Er3Pd2",
  "functional": "GGA-PBE",
  "state": "relaxed",
  "lattice": [[6.278, -1.856, 0.000], [6.278, 1.856, 0.000], [-4.240, 0.000, 8.062]],
  "species": ["Pm", "Pm", "Er", "Er", "Er", "Pd", "Pd"],
  "frac_coords": [[0.154, 0.154, 0.313], [0.846, 0.846, 0.687], [0.385, 0.385, 0.058], [0.500, 0.500, 0.500], [0.615, 0.615, 0.942], [0.165, 0.165, 0.740], [0.835, 0.835, 0.260]]
}

Which structure wins on stability? model ii wins.

Model i:
{
  "formula": "PmErPdRh",
  "functional": "GGA-PBE",
  "state": "relaxed",
  "lattice": [[0.000, 3.499, 3.499], [3.499, 0.000, 3.499], [3.499, 3.499, 0.000]],
  "species": ["Pm", "Er", "Pd", "Rh"],
  "frac_coords": [[0.000, 0.000, 0.000], [0.500, 0.500, 0.500], [0.250, 0.250, 0.250], [0.750, 0.750, 0.750]]
}

Model ii:
{
  "formula": "PmErPdRh",
  "functional": "GGA-PBE",
  "state": "relaxed",
  "lattice": [[4.475, 0.000, 0.000], [0.000, 1.870, 5.317], [0.000, -1.870, 5.317]],
  "species": ["Pm", "Er", "Pd", "Rh"],
  "frac_coords": [[0.000, 0.000, 0.000], [0.500, 0.722, 0.722], [0.500, 0.440, 0.440], [0.000, 0.266, 0.266]]
}

Which structure wins on stability? model ii wins.